Entry 1:
Material: SmTmSn
Method: DFT, PBE
State: optimized geometry

Results
Space group: F-43m
Crystal system: cubic
Polymorph energy (0 for the lowest one) in eV/atom: 0.000

a b c (Å): 5.1500 5.1500 5.1500
angles (deg): 60.00 60.00 60.00
Closest atoms and distances in Å follow each position.
Atoms (fractional coordinates):
Sm (0.0000, 0.0000, 0.0000)  4 Sn 3.15
Tm (0.5000, 0.5000, 0.5000)  4 Sn 3.15
Sn (0.2500, 0.2500, 0.2500)  4 Tm 3.15, 4 Sm 3.15

Entry 2:
Material: SmTmSn2
Method: DFT, PBE
State: optimized geometry

Results
Calculated total energy in eV/atom: -4.2194
Space group: Amm2
Crystal system: orthorhombic

a b c (Å): 3.3372 6.9010 6.9010
angles (deg): 53.71 90.00 90.00
Closest atoms and distances in Å follow each position.
Atoms (fractional coordinates):
Sm (0.0000, 0.0000, 0.0000)  3 Sn 3.06-3.13, 2 Sm 3.34
Tm (0.0000, 0.7197, 0.7197)  3 Sn 2.97-3.14
Sn (0.0000, 0.2485, 0.2485)  1 Sn 2.83, 1 Sm 3.06, 2 Tm 3.14
Sn (0.0000, 0.4782, 0.4782)  1 Sn 2.83, 1 Tm 2.97, 2 Sm 3.13

Entry 3:
Material: SmTmZn2Sn2
Method: DFT, PBE
State: optimized geometry

Results
Space group: P6_3/mmc
Crystal system: hexagonal
Polymorph energy (0 for the lowest one) in eV/atom: 0.000

a b c (Å): 4.5049 4.5049 15.9690
angles (deg): 90.00 90.00 120.00
Closest atoms and distances in Å follow each position.
Atoms (fractional coordinates):
Sm (0.0000, 0.0000, 0.0000)  6 Sn 3.20
Sm (0.0000, 0.0000, 0.5000)  6 Sn 3.20
Tm (0.0000, 0.0000, 0.2500)  6 Zn 2.95
Tm (0.0000, 0.0000, 0.7500)  6 Zn 2.95
Zn (0.3333, 0.6667, 0.1632)  3 Sn 2.70, 1 Zn 2.77, 3 Tm 2.95
Zn (0.3333, 0.6667, 0.3368)  3 Sn 2.70, 1 Zn 2.77, 3 Tm 2.95
Zn (0.6667, 0.3333, 0.6632)  3 Sn 2.70, 1 Zn 2.77, 3 Tm 2.95
Zn (0.6667, 0.3333, 0.8368)  3 Sn 2.70, 1 Zn 2.77, 3 Tm 2.95
Sn (0.3333, 0.6667, 0.6171)  3 Zn 2.70
Sn (0.3333, 0.6667, 0.8829)  3 Zn 2.70
Sn (0.6667, 0.3333, 0.1171)  3 Zn 2.70
Sn (0.6667, 0.3333, 0.3829)  3 Zn 2.70

| no. | calculated density (g cm⁻³) |
| --- | --- |
| 1 | 7.53 |
| 2 | 7.22 |
| 3 | 8.14 |